Record 1
FeBPdS2 after structural relaxation. Source: Alexandria, functional PBE.

Computed properties:
VASP energy: -5.068 eV/atom
energy relative to the elements, uncorrected: 0.649 eV per atom

Cell: 4.455 3.762 4.455 Å, 90.00 90.00 90.00°
Last column: magnetic moment on the atom in μB.
Atoms (fractional coordinates):
S: 0.000 0.000 0.500  0.06
S: 0.500 0.000 0.000  0.12
B: 0.000 0.500 0.000  -0.07
Fe: 0.000 0.000 0.000  1.36
Pd: 0.500 0.500 0.500  0.06

Record 2
Y2FeBPd after structural relaxation. Source: Alexandria, functional PBE.

Computed properties:
VASP energy: -6.663 eV/atom
energy relative to the elements: -0.01 eV/atom

Cell: 5.058 3.821 5.058 Å, 90.00 90.00 90.00°
Atoms (fractional coordinates):
Y: 0.000 0.000 0.500
Y: 0.500 0.000 0.000
B: 0.000 0.500 0.000
Fe: 0.000 0.000 0.000
Pd: 0.500 0.500 0.500

Record 3
Zr2FeBPd after structural relaxation. Source: Alexandria, functional PBE.

Computed properties:
VASP energy: -6.683 eV/atom
energy relative to the elements: 0.80 eV/atom

Cell: 5.058 3.861 5.058 Å, 90.00 90.00 90.00°
Last column: magnetic moment on the atom in μB.
Atoms (fractional coordinates):
B: 0.000 0.500 0.000  0.03
Zr: 0.000 0.000 0.500  -0.41
Zr: 0.500 0.000 0.000  -0.52
Pd: 0.000 0.000 0.000  -0.03
Fe: 0.500 0.500 0.500  2.69

no.,N(E_F) (states/eV/cell)
1,4.29
2,4.22
3,4.26